Entry from the Alexandria database: crystalline SbAsOs2 at its relaxed geometry (GGA-PBE).

```
SbAsOs2
1.0
3.014 0.000 0.000
0.000 4.390 0.000
-0.008 0.000 6.343
Sb As Os
1 1 2
Direct
0.000 0.000 0.000
0.499 0.500 0.435
0.000 0.500 0.747
0.499 0.000 0.640
```

Crystal system: monoclinic
Energy relative to the lowest polymorph listed for this composition in eV/f.u.: 0.26
Space group: Pm, No. 6
Formation energy (no corrections) in eV per atom: 0.3632
Volume in Å³ per atom: 20.982